Entry 1:
SrBN3 | PBE | relaxed

abc: 4.8269 4.8269 4.8269
angles: 90.00 90.00 90.00
Atoms (fractional coordinates):
Sr1 0.0000 0.0000 0.0000
B1 0.5000 0.5000 0.5000
N1 0.0000 0.0000 0.5000
N2 0.0000 0.5000 0.0000
N3 0.5000 0.0000 0.0000

Calculated values
Symmetry   No. 221
E_form (uncorrected)   3.049 eV per atom
Final energy   -18.09 eV/cell
Theoretical density   2.1 g/cm³

=====

Entry 2:
La7PmSm12 | PBE | relaxed

abc: 10.0046 10.0046 10.0046
angles: 109.47 109.47 109.47
Atoms (fractional coordinates):
La1 0.0000 0.0000 0.5000
La2 0.0000 0.5000 0.0000
La3 0.0000 0.5000 0.5000
La4 0.5000 0.0000 0.0000
La5 0.5000 0.0000 0.5000
La6 0.5000 0.5000 0.0000
La7 0.5000 0.5000 0.5000
Pm1 0.0000 0.0000 0.0000
Sm1 0.0000 0.2485 0.7515
Sm2 0.0000 0.7515 0.2485
Sm3 0.2485 0.0000 0.7515
Sm4 0.2485 0.2485 0.4969
Sm5 0.2485 0.4969 0.2485
Sm6 0.2485 0.7515 0.0000
Sm7 0.4969 0.2485 0.2485
Sm8 0.5031 0.7515 0.7515
Sm9 0.7515 0.0000 0.2485
Sm10 0.7515 0.2485 0.0000
Sm11 0.7515 0.5031 0.7515
Sm12 0.7515 0.7515 0.5031

Calculated values
Symmetry   No. 229
Final energy   -84.58 eV/cell
Theoretical density   6.3 g/cm³
Formation enthalpy at 0 K   564.4 meV/atom
Energy above the lowest structure with this stoichiometry   0.356 eV/atom

=====

Entry 3:
AcNd2Bi | PBE | relaxed

abc: 5.1684 5.1684 5.0263
angles: 90.00 90.00 90.00
Atoms (fractional coordinates):
Ac1 0.0000 0.0000 0.0000
Nd1 0.0000 0.5000 0.5000
Nd2 0.5000 0.0000 0.5000
Bi1 0.5000 0.5000 0.0000

Calculated values
Symmetry   No. 123
Final energy   -19.13 eV/cell
Theoretical density   9.0 g/cm³
Formation enthalpy at 0 K   -402.2 meV/atom
Energy above the lowest structure with this stoichiometry   0.000 eV/atom

=====

Entry 4:
V2OsRuC | PBE | relaxed

abc: 3.9857 3.9857 3.9455
angles: 90.00 90.00 90.00
Atoms (fractional coordinates):
V1 0.0000 0.5000 0.0000
V2 0.5000 0.0000 0.0000
Os1 0.0000 0.0000 0.5000
Ru1 0.5000 0.5000 0.5000
C1 0.0000 0.0000 0.0000

Calculated values
Symmetry   No. 123
Final energy   -48.36 eV/cell
Theoretical density   10.7 g/cm³
Formation enthalpy at 0 K   -79.5 meV/atom
Energy above the lowest structure with this stoichiometry   0.000 eV/atom

=====

Entry 5:
BeCdRu2Br | PBE | relaxed

abc: 4.3476 4.3476 4.6611
angles: 90.00 90.00 90.00
Atoms (fractional coordinates):
Be1 0.0000 0.0000 0.0000
Cd1 0.5000 0.5000 0.5000
Ru1 0.0000 0.5000 0.0000
Ru2 0.5000 0.0000 0.0000
Br1 0.0000 0.0000 0.5000

Calculated values
Symmetry   No. 123
E_form (uncorrected)   0.944 eV per atom
Final energy   -20.15 eV/cell
Theoretical density   7.6 g/cm³

=====

Entry 6:
Mg3AsRh | PBE | relaxed

abc: 4.8670 4.8670 4.8670
angles: 90.00 90.00 90.00
Atoms (fractional coordinates):
Mg1 0.0000 0.0000 0.5000
Mg2 0.0000 0.5000 0.0000
Mg3 0.5000 0.0000 0.0000
As1 0.0000 0.0000 0.0000
Rh1 0.5000 0.5000 0.5000

Calculated values
Symmetry   No. 221
Final energy   -15.33 eV/cell
Theoretical density   3.6 g/cm³
Formation enthalpy at 0 K   291.9 meV/atom
Energy above the lowest structure with this stoichiometry   0.232 eV/atom